[1]
# K2LiPrCl6

A crystal of K2LiPrCl6 relaxed with PBEsol (SCAN, Alexandria).

Lattice parameters (Å, degrees): 7.3531 7.3531 7.3531 60.00 60.00 60.00
Fractional positions:
K 0.2500 0.2500 0.2500
K 0.7500 0.7500 0.7500
Li 0.0000 0.0000 0.0000
Pr 0.5000 0.5000 0.5000
Cl 0.2401 0.2401 0.7599
Cl 0.2401 0.7599 0.2401
Cl 0.2401 0.7599 0.7599
Cl 0.7599 0.2401 0.2401
Cl 0.7599 0.2401 0.7599
Cl 0.7599 0.7599 0.2401

Output
Final energy = -13.292 eV per atom
Formation energy without anion corrections = -2267 meV per atom
Theoretical density = 2.6 g/cm³
Density of states at the Fermi level = 0.00 states/eV/f.u.

[2]
# KPb5

A crystal of KPb5 relaxed with PBEsol (SCAN, Alexandria).

Lattice parameters (Å, degrees): 6.4968 6.4968 6.4968 60.00 60.00 60.00
Fractional positions:
K 0.0000 0.0000 0.0000
Pb 0.1247 0.6251 0.6251
Pb 0.2500 0.2500 0.2500
Pb 0.6251 0.1247 0.6251
Pb 0.6251 0.6251 0.1247
Pb 0.6251 0.6251 0.6251

Output
Final energy = -64.628 eV per atom
Theoretical density = 9.2 g/cm³
Formation energy from the elements = -8.6 kJ/mol of atoms
Energy relative to the lowest polymorph listed for this composition = 1.4 meV per atom
Density of states at the Fermi level = 3.04 states/eV/f.u.

[3]
# LaMn2Ni

A crystal of LaMn2Ni relaxed with PBEsol (SCAN, Alexandria).

Lattice parameters (Å, degrees): 2.9688 2.9688 6.9938 90.00 90.00 90.00
Fractional positions:
La 0.0000 0.0000 0.0000
Mn 0.0000 0.0000 0.4974
Mn 0.5000 0.5000 0.3303
Ni 0.5000 0.5000 0.6901

Output
Final energy = -23.947 eV per atom
Theoretical density = 8.3 g/cm³
Formation energy from the elements = 0.0 kJ/mol of atoms
Density of states at the Fermi level = 3.93 states/eV/f.u.

[4]
# SbMoAs2H

A crystal of SbMoAs2H relaxed with PBEsol (SCAN, Alexandria).

Lattice parameters (Å, degrees): 5.1609 5.1609 3.4699 90.00 90.00 90.00
Fractional positions:
Sb 0.0000 0.0000 0.0000
Mo 0.5000 0.5000 0.5000
As 0.0000 0.5000 0.0000
As 0.5000 0.0000 0.0000
H 0.0000 0.0000 0.5000

Output
Final energy = -22.328 eV per atom
Theoretical density = 6.6 g/cm³
Density of states at the Fermi level = 2.51 states/eV/f.u.

[5]
# LaMg2BTe

A crystal of LaMg2BTe relaxed with PBEsol (SCAN, Alexandria).

Lattice parameters (Å, degrees): 6.2612 6.2612 5.8894 90.00 90.00 90.00
Fractional positions:
La 0.0000 0.0000 0.0000
Mg 0.0000 0.5000 0.0000
Mg 0.5000 0.0000 0.0000
B 0.5000 0.5000 0.5000
Te 0.0000 0.0000 0.5000

Output
Final energy = -18.086 eV per atom
Formation energy without anion corrections = 1461 meV per atom
Theoretical density = 2.3 g/cm³
Density of states at the Fermi level = 3.41 states/eV/f.u.

[6]
# FeNiOs

A crystal of FeNiOs relaxed with PBEsol (SCAN, Alexandria).

Lattice parameters (Å, degrees): 5.5198 5.5198 5.5198 152.79 152.79 38.86
Fractional positions:
Fe 0.0000 0.0000 0.0000
Ni 0.6616 0.6616 0.0000
Os 0.3380 0.3380 0.0000

Output
Final energy = -35.222 eV per atom
Theoretical density = 14.4 g/cm³
Formation energy from the elements = 16.6 kJ/mol of atoms
Energy relative to the lowest polymorph listed for this composition = 28.8 meV per atom
Density of states at the Fermi level = 2.99 states/eV/f.u.

[7]
# Fe3ReRh

A crystal of Fe3ReRh relaxed with PBEsol (SCAN, Alexandria).

Lattice parameters (Å, degrees): 4.3386 4.3386 4.3386 90.00 90.00 90.00
Fractional positions:
Fe 0.0000 0.0000 0.5000
Fe 0.0000 0.5000 0.0000
Fe 0.5000 0.0000 0.0000
Re 0.0000 0.0000 0.0000
Rh 0.5000 0.5000 0.5000

Output
Final energy = -30.160 eV per atom
Theoretical density = 9.3 g/cm³
Formation energy from the elements = 163.3 kJ/mol of atoms
Density of states at the Fermi level = 5.18 states/eV/f.u.

[8]
# K2RbScZn

A crystal of K2RbScZn relaxed with PBEsol (SCAN, Alexandria).

Lattice parameters (Å, degrees): 7.0321 7.0321 7.1581 90.00 90.00 90.00
Fractional positions:
K 0.0000 0.5000 0.0000
K 0.5000 0.0000 0.0000
Rb 0.0000 0.0000 0.5000
Sc 0.0000 0.0000 0.0000
Zn 0.5000 0.5000 0.5000

Output
Final energy = -12.086 eV per atom
Theoretical density = 1.3 g/cm³
Formation energy from the elements = 91.0 kJ/mol of atoms
Density of states at the Fermi level = 5.79 states/eV/f.u.

What is the final energy in the eighth record?
-12.086 eV per atom

Among the records above, which one has the highest theoretical density?
FeNiOs

Look up the density of states at the Fermi level of the eighth one.
5.79 states/eV/f.u.